1.
! LiTlAg2, relaxed, DFT PBEsol; values from VASP
! - DOS at the Fermi energy (states/eV/f.u.) = 1.105
! - calculated density (g cm⁻³) = 9.9
! - DFT formation energy (eV/atom) = -0.12
&SYSTEM
  ibrav = 0, nat = 4, ntyp = 3
/
ATOMIC_SPECIES
Li 6.94 Li.upf
Ag 107.87 Ag.upf
Tl 204.38 Tl.upf
ATOMIC_POSITIONS angstrom
Li 0.9135 -4.5097 -3.3740
Ag 0.0000 0.0000 0.0000
Ag 1.3703 -6.7645 -5.0611
Tl 0.4568 -2.2548 -1.6870
CELL_PARAMETERS angstrom
-1.6183 -2.4187 -3.6379
2.9741 -1.9671 -2.9982
0.4713 -4.6335 -0.1120

---

2.
! Li2TlAg, relaxed, DFT PBEsol; values from VASP
! - DOS at the Fermi energy (states/eV/f.u.) = 1.116
! - calculated density (g cm⁻³) = 7.7
! - DFT formation energy (eV/atom) = -0.24
&SYSTEM
  ibrav = 0, nat = 4, ntyp = 3
/
ATOMIC_SPECIES
Tl 204.38 Tl.upf
Li 6.94 Li.upf
Ag 107.87 Ag.upf
ATOMIC_POSITIONS angstrom
Tl -2.2710 -1.0551 1.3408
Li 0.0000 0.0000 0.0000
Ag -4.5421 -2.1102 2.6816
Li -6.8131 -3.1653 4.0224
CELL_PARAMETERS angstrom
-4.6147 -0.4474 -0.1447
-2.0053 -3.8731 1.5792
-2.4642 0.1001 3.9286

---

3.
! Li2TlAg, relaxed, DFT PBEsol; values from VASP
! - DOS at the Fermi energy (states/eV/f.u.) = 1.275
! - calculated density (g cm⁻³) = 7.5
! - DFT formation energy (eV/atom) = -0.15
&SYSTEM
  ibrav = 0, nat = 4, ntyp = 3
/
ATOMIC_SPECIES
Li 6.94 Li.upf
Ag 107.87 Ag.upf
Tl 204.38 Tl.upf
ATOMIC_POSITIONS angstrom
Li -2.1911 -3.9666 4.0137
Li 0.6325 -2.7800 -0.1378
Ag -0.5592 -4.9373 2.0451
Tl -1.1013 -1.9937 2.0174
CELL_PARAMETERS angstrom
-0.7577 -2.1657 -2.5539
3.1095 -1.4268 0.2874
-2.2283 -4.0340 4.0820

---

4.
! Li2TlAg, relaxed, DFT PBEsol; values from VASP
! - DOS at the Fermi energy (states/eV/f.u.) = 1.196
! - calculated density (g cm⁻³) = 7.4
! - DFT formation energy (eV/atom) = -0.15
&SYSTEM
  ibrav = 0, nat = 4, ntyp = 3
/
ATOMIC_SPECIES
Li 6.94 Li.upf
Tl 204.38 Tl.upf
Ag 107.87 Ag.upf
ATOMIC_POSITIONS angstrom
Li 1.5862 1.9309 1.4768
Tl 0.0000 0.0000 2.9280
Li 0.0000 0.0000 5.8382
Ag 1.5862 1.9309 4.6015
CELL_PARAMETERS angstrom
3.1723 0.0000 0.0000
0.0000 3.8619 0.0000
0.0000 0.0000 5.9378

---

5.
! Li3TlAg, relaxed, DFT PBEsol; values from VASP
! - DOS at the Fermi energy (states/eV/f.u.) = 2.294
! - calculated density (g cm⁻³) = 5.0
! - DFT formation energy (eV/atom) = 0.08
&SYSTEM
  ibrav = 0, nat = 5, ntyp = 3
/
ATOMIC_SPECIES
Li 6.94 Li.upf
Ag 107.87 Ag.upf
Tl 204.38 Tl.upf
ATOMIC_POSITIONS angstrom
Li 0.8235 -2.2508 0.2124
Ag 0.0000 0.0000 0.0000
Li -2.0911 -0.8442 -0.8391
Tl -0.4081 -2.9925 -2.8718
Li 0.8595 0.1026 -2.2451
CELL_PARAMETERS angstrom
-4.1822 -1.6885 -1.6782
1.7189 0.2052 -4.4902
1.6470 -4.5017 0.4248

---

6.
! LiTlAg2, relaxed, DFT PBEsol; values from VASP
! - DOS at the Fermi energy (states/eV/f.u.) = 1.084
! - calculated density (g cm⁻³) = 9.9
! - DFT formation energy (eV/atom) = -0.12
&SYSTEM
  ibrav = 0, nat = 4, ntyp = 3
/
ATOMIC_SPECIES
Ag 107.87 Ag.upf
Li 6.94 Li.upf
Tl 204.38 Tl.upf
ATOMIC_POSITIONS angstrom
Ag -0.5229 -2.7738 0.7720
Li -1.0514 -0.5763 2.6695
Tl 0.0000 0.0000 0.0000
Ag -2.7725 -0.9545 0.3332
CELL_PARAMETERS angstrom
-3.3010 1.2431 2.2307
-2.2441 -3.1520 -1.5643
3.9708 -1.4412 2.7750

---

7.
! LiTlZnAg2, relaxed, DFT PBEsol; values from VASP
! - DOS at the Fermi energy (states/eV/f.u.) = 1.643
! - calculated density (g cm⁻³) = 7.5
! - DFT formation energy (eV/atom) = 0.27
&SYSTEM
  ibrav = 0, nat = 5, ntyp = 4
/
ATOMIC_SPECIES
Zn 65.41 Zn.upf
Ag 107.87 Ag.upf
Li 6.94 Li.upf
Tl 204.38 Tl.upf
ATOMIC_POSITIONS angstrom
Zn 0.0000 0.0000 0.0000
Ag 0.0000 2.4109 0.0000
Li 2.3337 0.0000 0.0000
Tl 2.3337 2.4109 2.4109
Ag 0.0000 0.0000 2.4109
CELL_PARAMETERS angstrom
4.6675 0.0000 0.0000
0.0000 4.8218 0.0000
0.0000 0.0000 4.8218

---

8.
! Li2AgW, relaxed, DFT PBEsol; values from VASP
! - DOS at the Fermi energy (states/eV/f.u.) = 2.642
! - calculated density (g cm⁻³) = 8.1
! - DFT formation energy (eV/atom) = 0.88
&SYSTEM
  ibrav = 0, nat = 4, ntyp = 3
/
ATOMIC_SPECIES
Ag 107.87 Ag.upf
Li 6.94 Li.upf
W 183.84 W.upf
ATOMIC_POSITIONS angstrom
Ag 0.0000 0.0000 0.0000
Li -2.1678 1.0370 1.5116
Li -1.3624 -1.5427 1.9554
W -2.5338 -0.8849 -0.5456
CELL_PARAMETERS angstrom
-3.3391 1.6949 -0.9893
-1.7284 -3.4646 -0.1018
1.5374 1.2640 4.5581

---

9.
! Li2AgW, relaxed, DFT PBEsol; values from VASP
! - DOS at the Fermi energy (states/eV/f.u.) = 1.980
! - calculated density (g cm⁻³) = 8.2
! - DFT formation energy (eV/atom) = 0.33
&SYSTEM
  ibrav = 0, nat = 4, ntyp = 3
/
ATOMIC_SPECIES
Li 6.94 Li.upf
W 183.84 W.upf
Ag 107.87 Ag.upf
ATOMIC_POSITIONS angstrom
Li 1.3428 1.3428 2.2121
Li 0.0000 0.0000 8.4579
W 0.0000 0.0000 4.2813
Ag 1.3428 1.3428 6.5033
CELL_PARAMETERS angstrom
2.6856 0.0000 0.0000
0.0000 2.6856 0.0000
0.0000 0.0000 8.5818

---

10.
! LiAgW2, relaxed, DFT PBEsol; values from VASP
! - DOS at the Fermi energy (states/eV/f.u.) = 2.788
! - calculated density (g cm⁻³) = 12.7
! - DFT formation energy (eV/atom) = 0.60
&SYSTEM
  ibrav = 0, nat = 4, ntyp = 3
/
ATOMIC_SPECIES
Ag 107.87 Ag.upf
W 183.84 W.upf
Li 6.94 Li.upf
ATOMIC_POSITIONS angstrom
Ag 0.8173 1.2275 4.8970
W 0.0000 0.0000 2.4369
W 0.0000 0.0000 7.3570
Li 0.8173 1.2275 0.0000
CELL_PARAMETERS angstrom
2.6339 0.0179 0.0000
-0.9994 2.4370 0.0000
0.0000 0.0000 9.7939

---

11.
! Li2AgW, relaxed, DFT PBEsol; values from VASP
! - DOS at the Fermi energy (states/eV/f.u.) = 3.319
! - calculated density (g cm⁻³) = 9.3
! - DFT formation energy (eV/atom) = 0.94
&SYSTEM
  ibrav = 0, nat = 4, ntyp = 3
/
ATOMIC_SPECIES
Li 6.94 Li.upf
Ag 107.87 Ag.upf
W 183.84 W.upf
ATOMIC_POSITIONS angstrom
Li -6.0204 -2.4434 4.3719
Ag 0.0000 0.0000 0.0000
Li -2.0068 -0.8145 1.4573
W -4.0136 -1.6289 2.9146
CELL_PARAMETERS angstrom
-2.9077 1.1750 2.8873
-3.9080 -1.7000 -0.0970
-1.2115 -2.7329 3.0389

---

12.
! LiAg2W, relaxed, DFT PBEsol; values from VASP
! - DOS at the Fermi energy (states/eV/f.u.) = 3.119
! - calculated density (g cm⁻³) = 10.8
! - DFT formation energy (eV/atom) = 0.72
&SYSTEM
  ibrav = 0, nat = 4, ntyp = 3
/
ATOMIC_SPECIES
Li 6.94 Li.upf
Ag 107.87 Ag.upf
W 183.84 W.upf
ATOMIC_POSITIONS angstrom
Li 0.0000 0.0000 0.0000
Ag 2.2240 1.2840 0.9080
Ag 6.6721 3.8521 2.7239
W 4.4480 2.5681 1.8159
CELL_PARAMETERS angstrom
4.4480 0.0000 0.0000
2.2240 3.8521 0.0000
2.2240 1.2840 3.6318

---

13.
! Li2AgW, relaxed, DFT PBEsol; values from VASP
! - DOS at the Fermi energy (states/eV/f.u.) = 3.037
! - calculated density (g cm⁻³) = 8.8
! - DFT formation energy (eV/atom) = 0.66
&SYSTEM
  ibrav = 0, nat = 4, ntyp = 3
/
ATOMIC_SPECIES
Ag 107.87 Ag.upf
W 183.84 W.upf
Li 6.94 Li.upf
ATOMIC_POSITIONS angstrom
Ag 1.2955 0.0000 0.0000
W 1.2955 2.3579 2.3579
Li 0.0000 0.0000 2.3579
Li 0.0000 2.3579 0.0000
CELL_PARAMETERS angstrom
2.5909 0.0000 0.0000
0.0000 4.7159 0.0000
0.0000 0.0000 4.7159

---

14.
! LiAgW2, relaxed, DFT PBEsol; values from VASP
! - DOS at the Fermi energy (states/eV/f.u.) = 4.388
! - calculated density (g cm⁻³) = 13.5
! - DFT formation energy (eV/atom) = 1.16
&SYSTEM
  ibrav = 0, nat = 4, ntyp = 3
/
ATOMIC_SPECIES
Ag 107.87 Ag.upf
W 183.84 W.upf
Li 6.94 Li.upf
ATOMIC_POSITIONS angstrom
Ag 0.0000 0.0000 0.0000
W -1.6765 -1.5362 1.4251
Li -3.3530 -3.0723 2.8501
W -5.0296 -4.6085 4.2752
CELL_PARAMETERS angstrom
-3.9264 -1.9459 0.0210
-0.5053 -3.8938 1.9459
-2.2743 -0.3050 3.7333

---

15.
! LiAgW2, relaxed, DFT PBEsol; values from VASP
! - DOS at the Fermi energy (states/eV/f.u.) = 1.890
! - calculated density (g cm⁻³) = 12.7
! - DFT formation energy (eV/atom) = 0.27
&SYSTEM
  ibrav = 0, nat = 4, ntyp = 3
/
ATOMIC_SPECIES
Ag 107.87 Ag.upf
W 183.84 W.upf
Li 6.94 Li.upf
ATOMIC_POSITIONS angstrom
Ag 4.2195 1.5695 -0.7848
W 6.8685 1.9696 0.2302
W 8.4863 3.1565 -1.5784
Li 2.5796 0.3744 1.0279
CELL_PARAMETERS angstrom
-0.1670 1.5466 2.1947
1.0163 -2.4010 0.6627
8.5219 3.1698 -1.5850

---

16.
! LiYAg4, relaxed, DFT PBEsol; values from VASP
! - DOS at the Fermi energy (states/eV/f.u.) = 4.280
! - calculated density (g cm⁻³) = 7.6
! - DFT formation energy (eV/atom) = -0.19
&SYSTEM
  ibrav = 0, nat = 6, ntyp = 3
/
ATOMIC_SPECIES
Ag 107.87 Ag.upf
Y 88.91 Y.upf
Li 6.94 Li.upf
ATOMIC_POSITIONS angstrom
Ag -4.5352 -1.6780 5.6249
Y 0.0000 0.0000 0.0000
Ag -4.9912 0.9953 5.3963
Ag -6.3275 -0.7547 3.7969
Ag -3.6648 -0.3323 3.4254
Li -7.3195 -0.6636 6.8413
CELL_PARAMETERS angstrom
-5.3475 -0.8484 0.7461
-1.7480 -2.7026 4.4174
-2.6638 2.6661 3.9583

---

17.
! LiY2Ag2, relaxed, DFT PBEsol; values from VASP
! - DOS at the Fermi energy (states/eV/f.u.) = 5.088
! - calculated density (g cm⁻³) = 5.7
! - DFT formation energy (eV/atom) = -0.21
&SYSTEM
  ibrav = 0, nat = 10, ntyp = 3
/
ATOMIC_SPECIES
Li 6.94 Li.upf
Y 88.91 Y.upf
Ag 107.87 Ag.upf
ATOMIC_POSITIONS angstrom
Li 4.7288 -2.7823 -0.9324
Y 6.0461 -5.9981 -1.2641
Ag 2.2839 -1.9358 0.7510
Y 1.4293 -2.4579 -2.0255
Y 4.6950 -3.5583 -4.3358
Ag 3.7612 -0.9800 -3.2439
Ag 7.1736 -3.6288 -2.6158
Y 2.7803 -4.8977 1.0463
Li 0.0000 0.0000 0.0000
Ag 5.6963 -4.5846 1.3791
CELL_PARAMETERS angstrom
-1.9822 -2.8914 -1.4247
5.0638 -0.5135 -6.0031
4.3937 -5.0511 4.1383

---

18.
! LiY2Ag2, relaxed, DFT PBEsol; values from VASP
! - DOS at the Fermi energy (states/eV/f.u.) = 5.512
! - calculated density (g cm⁻³) = 5.5
! - DFT formation energy (eV/atom) = 0.10
&SYSTEM
  ibrav = 0, nat = 5, ntyp = 3
/
ATOMIC_SPECIES
Y 88.91 Y.upf
Li 6.94 Li.upf
Ag 107.87 Ag.upf
ATOMIC_POSITIONS angstrom
Y 0.0000 0.0000 6.5250
Y 1.9086 1.9086 1.7591
Li 0.0000 0.0000 0.0000
Ag 1.9086 0.0000 4.1421
Ag 0.0000 1.9086 4.1421
CELL_PARAMETERS angstrom
3.8172 0.0000 0.0000
0.0000 3.8172 0.0000
-1.9086 -1.9086 8.2841

---

19.
! LiYAg, relaxed, DFT PBEsol; values from VASP
! - DOS at the Fermi energy (states/eV/f.u.) = 1.517
! - calculated density (g cm⁻³) = 5.5
! - DFT formation energy (eV/atom) = -0.16
&SYSTEM
  ibrav = 0, nat = 3, ntyp = 3
/
ATOMIC_SPECIES
Ag 107.87 Ag.upf
Li 6.94 Li.upf
Y 88.91 Y.upf
ATOMIC_POSITIONS angstrom
Ag -5.2508 -0.5654 0.3345
Li -2.7299 -1.7252 0.9694
Y -2.7263 1.0300 -0.5619
CELL_PARAMETERS angstrom
-1.4880 3.0459 1.2304
-1.5053 0.5683 -3.2275
-2.3603 -4.2446 2.3682

---

20.
! LiYAg, relaxed, DFT PBEsol; values from VASP
! - DOS at the Fermi energy (states/eV/f.u.) = 2.419
! - calculated density (g cm⁻³) = 5.4
! - DFT formation energy (eV/atom) = -0.12
&SYSTEM
  ibrav = 0, nat = 3, ntyp = 3
/
ATOMIC_SPECIES
Li 6.94 Li.upf
Y 88.91 Y.upf
Ag 107.87 Ag.upf
ATOMIC_POSITIONS angstrom
Li -0.0248 -2.4381 3.0356
Y -0.6214 -2.8223 -0.0419
Ag -1.8358 -0.7738 2.0317
CELL_PARAMETERS angstrom
-2.2034 -0.9287 2.4384
-1.5854 -3.3615 -2.7128
3.5101 -0.8153 2.8612